Compound: VZn2SiNi
Source: Alexandria via LeMat-Bulk
Functional: PBE
Structure: relaxed

## Properties
**Space group**: No. 123
**Energy**: -3.3948 eV per atom
**Mass density**: 4.5 g/cm³
**ΔE_f (raw)**: 1179 meV/atom

Unit cell a=4.820 b=4.252 c=4.820 alpha=90.00 beta=90.00 gamma=90.00
Site moments in Bohr magnetons follow the coordinates.
Sites, in units of the cell vectors:
V: 0.000 0.000 0.000  1.64
Si: 0.500 0.500 0.500  -0.04
Zn: 0.500 0.000 0.000  0.06
Zn: 0.000 0.000 0.500  0.04
Ni: 0.000 0.500 0.000  0.04